The following is a GGA-PBE calculation of crystalline IrOs2Pt at its relaxed geometry, from Alexandria.

a = 2.743 Å, b = 3.873 Å, c = 5.527 Å
α = 90.00°, β = 90.00°, γ = 90.00°
Space group Pmm2 (No. 25)
Unique sites:
Ir1 0.000 0.000 0.000 (multiplicity 1)
Os1 0.000 0.000 0.479 (multiplicity 1)
Os2 0.500 0.500 0.248 (multiplicity 1)
Pt1 0.500 0.500 0.740 (multiplicity 1)

Computed properties:
The calculation puts the density of states at the Fermi level at 3.87 states/eV/f.u.

The following is a GGA-PBE calculation of crystalline PaBe2GaOs2 at its relaxed geometry, from Alexandria.

a = 4.141 Å, b = 4.141 Å, c = 5.417 Å
α = 90.00°, β = 90.00°, γ = 90.00°
Space group P4/mmm (No. 123)
Unique sites:
Pa1 0.000 0.000 0.000 (multiplicity 1)
Be1 0.000 0.500 0.500 (multiplicity 2)
Ga1 0.000 0.000 0.500 (multiplicity 1)
Os1 0.500 0.500 0.231 (multiplicity 2)

Computed properties:
The calculation puts the density of states at the Fermi level at 3.78 states/eV/f.u.

no.,ρ (g/cm³),magnetization (μB/cell),formation energy (meV per atom)
1,21.712,0.00,87
2,12.498,0.00,344